The following is a PBE with a Hubbard U calculation of crystalline KPb2WO6 at its relaxed geometry, from Alexandria.

a = 5.7779 Å, b = 6.4027 Å, c = 10.5089 Å
α = 90.00°, β = 122.84°, γ = 90.00°
Last column: nearest neighbours and their distance in Å.
Sites, in units of the cell vectors:
K 0.0000 0.0000 0.0000  2 O 2.54
K 0.0000 0.5000 0.5000  2 O 2.54
Pb 0.2152 0.0197 0.7192  6 O 2.39-2.57
Pb 0.2152 0.4803 0.2192  6 O 2.39-2.57
Pb 0.7848 0.5197 0.7808  6 O 2.39-2.57
Pb 0.7848 0.9803 0.2808  6 O 2.39-2.57
W 0.5000 0.0000 0.5000  6 O 1.95-1.99
W 0.5000 0.5000 0.0000  6 O 1.95-1.99
O 0.1908 0.1514 0.4818  1 W 1.95
O 0.1908 0.3486 0.9818  1 W 1.95
O 0.2353 0.7177 0.8714  1 W 1.97
O 0.2353 0.7823 0.3714  1 W 1.97
O 0.4488 0.1382 0.3169  1 W 1.99
O 0.4488 0.3618 0.8169  1 W 1.99
O 0.5512 0.6382 0.1831  1 W 1.99
O 0.5512 0.8618 0.6831  1 W 1.99
O 0.7647 0.2177 0.6286  1 W 1.97
O 0.7647 0.2823 0.1286  1 W 1.97
O 0.8092 0.6514 0.0182  1 W 1.95
O 0.8092 0.8486 0.5182  1 W 1.95

DOS(E_F) (states/eV/atom): 0.511
E_tot (eV per atom): -6.09
Total magnetization (Bohr magnetons per cell): 0.000